Computed, not measured: crystalline NdDyHo3 at its relaxed geometry at the PBE-GGA level of DFT.

VASP energy = -4.324 eV per atom
magnetic moment = 0.000 μB/cell
DOS at the Fermi energy = 1.47 states/eV per atom
DFT formation energy = 28.7 kJ per mole of atoms

Geometry as CIF:
```
data_NdDyHo3
_chemical_formula_sum 'Nd2 Dy2 Ho6'
_symmetry_space_group_name_H-M 'P 1 21/m 1'
_symmetry_Int_Tables_number 11
_cell_length_a 3.604
_cell_length_b 11.550
_cell_length_c 8.571
_cell_angle_alpha 90.00
_cell_angle_beta 102.10
_cell_angle_gamma 90.00
loop_
_symmetry_equiv_pos_as_xyz
'x,y,z'
'-x,-y,-z'
'-x,y+1/2,-z'
'x,-y+1/2,z'
loop_
_atom_site_label
_atom_site_type_symbol
_atom_site_fract_x
_atom_site_fract_y
_atom_site_fract_z
Nd1 Nd 0.009 0.250 0.012
Dy1 Dy 0.320 0.750 0.643
Ho1 Ho 0.158 0.000 0.316
Ho2 Ho 0.337 0.250 0.674
```

=====

Computed, not measured: crystalline CaHo2InPd4 at its relaxed geometry at the PBE-GGA level of DFT.

VASP energy = -5.114 eV per atom
magnetic moment = 0.000 μB/cell
DOS at the Fermi energy = 0.74 states/eV per atom
DFT formation energy = -75.3 kJ per mole of atoms

Geometry as CIF:
```
data_CaHo2InPd4
_chemical_formula_sum 'Ca3 Ho6 In3 Pd12'
_symmetry_space_group_name_H-M 'R -3 m'
_symmetry_Int_Tables_number 166
_symmetry_space_group_name_Hall '-R 3 2"'
_cell_length_a 4.8613
_cell_length_b 4.8613
_cell_length_c 24.0057
_cell_angle_alpha 90.00
_cell_angle_beta 90.00
_cell_angle_gamma 120.00
loop_
_atom_site_label
_atom_site_type_symbol
_atom_site_fract_x
_atom_site_fract_y
_atom_site_fract_z
Ca1 Ca 0.0000 0.0000 0.0000
Ho1 Ho 0.0000 0.0000 0.2466
In1 In 0.0000 0.0000 0.5000
Pd1 Pd 0.0000 0.0000 0.1268
Pd2 Pd 0.0000 0.0000 0.3785
```

=====

Computed, not measured: crystalline RbMnPtCl6 at its relaxed geometry at the PBE-GGA level of DFT.

VASP energy = -3.994 eV per atom
E_form (uncorrected) = -0.965 eV/atom
magnetic moment = 12.006 μB/cell

Geometry as CIF:
```
data_RbMnPtCl6
_chemical_formula_sum 'Rb2 Mn2 Pt2 Cl12'
_symmetry_space_group_name_H-M 'C 1 2 1'
_symmetry_Int_Tables_number 5
_cell_length_a 6.671
_cell_length_b 11.050
_cell_length_c 7.419
_cell_angle_alpha 90.00
_cell_angle_beta 92.22
_cell_angle_gamma 90.00
loop_
_symmetry_equiv_pos_as_xyz
'x,y,z'
'-x,y,-z'
'x+1/2,y+1/2,z'
'-x+1/2,y+1/2,-z'
loop_
_atom_site_label
_atom_site_type_symbol
_atom_site_fract_x
_atom_site_fract_y
_atom_site_fract_z
Rb1 Rb 0.000 0.000 0.000
Mn1 Mn 0.000 0.327 0.500
Pt1 Pt 0.000 0.672 0.500
Cl1 Cl 0.135 0.515 0.680
Cl2 Cl 0.173 0.818 0.678
Cl3 Cl 0.187 0.194 0.711
```

=====

Computed, not measured: crystalline Cs3PtBr6 at its relaxed geometry at the PBE-GGA level of DFT.

VASP energy = -2.978 eV per atom
E_form (uncorrected) = -1.114 eV/atom
magnetic moment = 6.245 μB/cell
DOS at the Fermi energy = 0.66 states/eV per atom

Geometry as CIF:
```
data_Cs3PtBr6
_chemical_formula_sum 'Cs18 Pt6 Br36'
_symmetry_space_group_name_H-M 'R -3'
_symmetry_Int_Tables_number 148
_symmetry_space_group_name_Hall '-R 3'
_cell_length_a 13.6579
_cell_length_b 13.6579
_cell_length_c 16.9084
_cell_angle_alpha 90.00
_cell_angle_beta 90.00
_cell_angle_gamma 120.00
loop_
_atom_site_label
_atom_site_type_symbol
_atom_site_fract_x
_atom_site_fract_y
_atom_site_fract_z
Cs1 Cs 0.0512 0.7811 0.2113
Pt1 Pt 0.0000 0.0000 0.0000
Pt2 Pt 0.0000 0.0000 0.5000
Br1 Br 0.0043 0.1572 0.5891
Br2 Br 0.0341 0.8637 0.9116
```

=====

Computed, not measured: crystalline Nd7Te2Ir2 at its relaxed geometry at the PBE-GGA level of DFT.

VASP energy = -5.954 eV per atom
E_form (uncorrected) = -0.737 eV/atom
magnetic moment = 0.000 μB/cell
DOS at the Fermi energy = 1.06 states/eV per atom

Geometry as CIF:
```
data_Nd7Te2Ir2
_chemical_formula_sum 'Nd14 Te4 Ir4'
_symmetry_space_group_name_H-M 'I m m 2'
_symmetry_Int_Tables_number 44
_cell_length_a 4.192
_cell_length_b 15.520
_cell_length_c 10.021
_cell_angle_alpha 90.00
_cell_angle_beta 90.00
_cell_angle_gamma 90.00
loop_
_symmetry_equiv_pos_as_xyz
'x,y,z'
'-x,-y,z'
'-x,y,z'
'x,-y,z'
'x+1/2,y+1/2,z+1/2'
'-x+1/2,-y+1/2,z+1/2'
'-x+1/2,y+1/2,z+1/2'
'x+1/2,-y+1/2,z+1/2'
loop_
_atom_site_label
_atom_site_type_symbol
_atom_site_fract_x
_atom_site_fract_y
_atom_site_fract_z
Nd1 Nd 0.000 0.000 0.000
Nd2 Nd 0.000 0.105 0.600
Nd3 Nd 0.000 0.326 0.366
Nd4 Nd 0.000 0.381 0.785
Te1 Te 0.000 0.229 0.085
Ir1 Ir 0.000 0.000 0.349
Ir2 Ir 0.000 0.500 0.275
```

=====

Computed, not measured: crystalline KLiF3 at its relaxed geometry at the PBE-GGA level of DFT.

VASP energy = -3.719 eV per atom
E_form (uncorrected) = -1.994 eV/atom
magnetic moment = 0.475 μB/cell
DOS at the Fermi energy = 0.87 states/eV per atom

Geometry as CIF:
```
data_KLiF3
_chemical_formula_sum 'K1 Li1 F3'
_symmetry_space_group_name_H-M 'P 4 m m'
_symmetry_Int_Tables_number 99
_cell_length_a 3.821
_cell_length_b 3.821
_cell_length_c 7.012
_cell_angle_alpha 90.00
_cell_angle_beta 90.00
_cell_angle_gamma 90.00
loop_
_symmetry_equiv_pos_as_xyz
'x,y,z'
'-y,x,z'
'-x,-y,z'
'y,-x,z'
'-x,y,z'
'y,x,z'
'x,-y,z'
'-y,-x,z'
loop_
_atom_site_label
_atom_site_type_symbol
_atom_site_fract_x
_atom_site_fract_y
_atom_site_fract_z
K1 K 0.000 0.000 0.000
Li1 Li 0.500 0.500 0.326
F1 F 0.000 0.000 0.643
F2 F 0.000 0.500 0.242
```

=====

Computed, not measured: crystalline PaGaCo2C at its relaxed geometry at the PBE-GGA level of DFT.

VASP energy = -7.508 eV per atom
magnetic moment = 0.001 μB/cell
DOS at the Fermi energy = 0.95 states/eV per atom
DFT formation energy = -30.6 kJ per mole of atoms

Geometry as CIF:
```
data_PaGaCo2C
_chemical_formula_sum 'Pa4 Ga4 Co8 C4'
_symmetry_space_group_name_H-M 'C m c m'
_symmetry_Int_Tables_number 63
_symmetry_space_group_name_Hall '-C 2c 2'
_cell_length_a 3.776
_cell_length_b 10.958
_cell_length_c 6.758
_cell_angle_alpha 90.00
_cell_angle_beta 90.00
_cell_angle_gamma 90.00
loop_
_atom_site_label
_atom_site_type_symbol
_atom_site_fract_x
_atom_site_fract_y
_atom_site_fract_z
Pa1 Pa 0.000 0.061 0.250
Ga1 Ga 0.000 0.220 0.750
Co1 Co 0.000 0.340 0.050
C1 C 0.000 0.500 0.000
```

=====

Computed, not measured: crystalline Be4NbAu5 at its relaxed geometry at the PBE-GGA level of DFT.

VASP energy = -4.257 eV per atom
magnetic moment = 0.000 μB/cell
DOS at the Fermi energy = 0.42 states/eV per atom
DFT formation energy = -11.7 kJ per mole of atoms

Geometry as CIF:
```
data_Be4NbAu5
_chemical_formula_sum 'Be4 Nb1 Au5'
_symmetry_space_group_name_H-M 'P 4/m m m'
_symmetry_Int_Tables_number 123
_symmetry_space_group_name_Hall '-P 4 2'
_cell_length_a 2.958
_cell_length_b 2.958
_cell_length_c 16.001
_cell_angle_alpha 90.00
_cell_angle_beta 90.00
_cell_angle_gamma 90.00
loop_
_atom_site_label
_atom_site_type_symbol
_atom_site_fract_x
_atom_site_fract_y
_atom_site_fract_z
Be1 Be 0.000 0.000 0.092
Be2 Be 0.000 0.000 0.279
Nb1 Nb 0.000 0.000 0.500
Au1 Au 0.500 0.500 0.000
Au2 Au 0.500 0.500 0.186
Au3 Au 0.500 0.500 0.370
```

=====

Computed, not measured: crystalline Cs3NbS at its relaxed geometry at the PBE-GGA level of DFT.

VASP energy = -2.821 eV per atom
E_form (uncorrected) = 0.530 eV/atom
magnetic moment = 5.232 μB/cell
DOS at the Fermi energy = 2.56 states/eV per atom

Geometry as CIF:
```
data_Cs3NbS
_chemical_formula_sum 'Cs3 Nb1 S1'
_symmetry_space_group_name_H-M 'P m -3 m'
_symmetry_Int_Tables_number 221
_symmetry_space_group_name_Hall '-P 4 2 3'
_cell_length_a 6.756
_cell_length_b 6.756
_cell_length_c 6.756
_cell_angle_alpha 90.00
_cell_angle_beta 90.00
_cell_angle_gamma 90.00
loop_
_atom_site_label
_atom_site_type_symbol
_atom_site_fract_x
_atom_site_fract_y
_atom_site_fract_z
Cs1 Cs 0.000 0.000 0.500
Nb1 Nb 0.500 0.500 0.500
S1 S 0.000 0.000 0.000
```

=====

Computed, not measured: crystalline SiAg2Sb at its relaxed geometry at the PBE-GGA level of DFT.

VASP energy = -3.510 eV per atom
E_form (uncorrected) = 0.302 eV/atom
magnetic moment = 0.000 μB/cell
DOS at the Fermi energy = 0.46 states/eV per atom

Geometry as CIF:
```
data_SiAg2Sb
_chemical_formula_sum 'Si2 Ag4 Sb2'
_symmetry_space_group_name_H-M 'C m m m'
_symmetry_Int_Tables_number 65
_symmetry_space_group_name_Hall '-C 2 2'
_cell_length_a 4.371
_cell_length_b 4.388
_cell_length_c 8.353
_cell_angle_alpha 90.00
_cell_angle_beta 90.00
_cell_angle_gamma 90.00
loop_
_atom_site_label
_atom_site_type_symbol
_atom_site_fract_x
_atom_site_fract_y
_atom_site_fract_z
Si1 Si 0.000 0.000 0.000
Ag1 Ag 0.000 0.500 0.214
Sb1 Sb 0.000 0.000 0.500
```

=====

Computed, not measured: crystalline Pr5Dy3Er4 at its relaxed geometry at the PBE-GGA level of DFT.

VASP energy = -4.412 eV per atom
magnetic moment = 0.148 μB/cell
DOS at the Fermi energy = 1.46 states/eV per atom
DFT formation energy = 24.2 kJ per mole of atoms

Geometry as CIF:
```
data_Pr5Dy3Er4
_chemical_formula_sum 'Pr10 Dy6 Er8'
_symmetry_space_group_name_H-M 'C 1 2/m 1'
_symmetry_Int_Tables_number 12
_cell_length_a 12.617
_cell_length_b 5.808
_cell_length_c 11.013
_cell_angle_alpha 90.00
_cell_angle_beta 95.66
_cell_angle_gamma 90.00
loop_
_symmetry_equiv_pos_as_xyz
'x,y,z'
'-x,-y,-z'
'-x,y,-z'
'x,-y,z'
'x+1/2,y+1/2,z'
'-x+1/2,-y+1/2,-z'
'-x+1/2,y+1/2,-z'
'x+1/2,-y+1/2,z'
loop_
_atom_site_label
_atom_site_type_symbol
_atom_site_fract_x
_atom_site_fract_y
_atom_site_fract_z
Pr1 Pr 0.000 0.000 0.000
Pr2 Pr 0.102 0.500 0.590
Pr3 Pr 0.149 0.500 0.269
Dy1 Dy 0.000 0.500 0.000
Dy2 Dy 0.245 0.500 0.892
Er1 Er 0.075 0.000 0.755
Er2 Er 0.145 0.000 0.452
```